Entry from Alexandria: crystalline Na2SrPd2 at its relaxed geometry (GGA-PBE).

Volume = 114.4 Å³/f.u.
Crystal system = tetragonal
DFT formation energy = -131 meV/atom
Spin magnetization = 0.000 μB/atom
Polymorph energy (0 for the lowest one) = 108 meV per atom
Theoretical density = 5.0 g/cm3

a b c (Å): 8.309 8.309 3.314
angles (deg): 90.00 90.00 90.00
Space group P4/mbm (No. 127)
Unique sites:
Na 0.115 0.385 0.000
Sr 0.000 0.000 0.000
Pd 0.185 0.685 0.500